Record 1
# NaLi2Al (PBE-GGA, optimized geometry)
data_NaLi2Al
_chemical_formula_sum 'Na1 Li2 Al1'
_space_group_name_H-M_alt 'P 4/m m m'
_space_group_IT_number 123
_space_group_name_Hall '-P 4 2'
_cell_length_a 3.173
_cell_length_b 3.173
_cell_length_c 8.220
_cell_angle_alpha 90.00
_cell_angle_beta 90.00
_cell_angle_gamma 90.00
loop_
_atom_site_label
_atom_site_type_symbol
_atom_site_fract_x
_atom_site_fract_y
_atom_site_fract_z
_atom_site_occupancy
Na1 Na 0.000 0.000 0.000 1
Li1 Li 0.500 0.500 0.304 1
Al1 Al 0.000 0.000 0.500 1
# **DFT formation energy**: -0.020 eV/atom
# **M_tot**: 0.000 μB per atom
# **Fermi-level density of states**: 1.2 states/eV per cell

=====

Record 2
# Tc2PW (PBE-GGA, optimized geometry)
data_Tc2PW
_chemical_formula_sum 'Tc2 P1 W1'
_space_group_name_H-M_alt 'P m m 2'
_space_group_IT_number 25
_space_group_name_Hall 'P 2 -2'
_cell_length_a 2.886
_cell_length_b 4.001
_cell_length_c 5.010
_cell_angle_alpha 90.00
_cell_angle_beta 90.00
_cell_angle_gamma 90.00
loop_
_atom_site_label
_atom_site_type_symbol
_atom_site_fract_x
_atom_site_fract_y
_atom_site_fract_z
_atom_site_occupancy
Tc1 Tc 0.000 0.000 0.000 1
Tc2 Tc 0.500 0.500 0.286 1
P1 P 0.500 0.500 0.788 1
W1 W 0.000 0.000 0.519 1
# **DFT formation energy**: 0.027 eV/atom
# **M_tot**: 0.000 μB per atom
# **Fermi-level density of states**: 2.7 states/eV per cell

=====

Record 3
# RbSn3Pd (PBE-GGA, optimized geometry)
data_RbSn3Pd
_chemical_formula_sum 'Rb4 Sn12 Pd4'
_space_group_name_H-M_alt 'P 1 21/c 1'
_space_group_IT_number 14
_space_group_name_Hall '-P 2ybc'
_cell_length_a 9.170
_cell_length_b 7.564
_cell_length_c 9.542
_cell_angle_alpha 90.00
_cell_angle_beta 116.62
_cell_angle_gamma 90.00
loop_
_atom_site_label
_atom_site_type_symbol
_atom_site_fract_x
_atom_site_fract_y
_atom_site_fract_z
_atom_site_occupancy
Rb1 Rb 0.120 0.069 0.207 1
Sn1 Sn 0.160 0.591 0.105 1
Sn2 Sn 0.322 0.059 0.935 1
Sn3 Sn 0.464 0.120 0.647 1
Pd1 Pd 0.417 0.734 0.064 1
# **DFT formation energy**: -0.267 eV/atom
# **Energy above the lowest structure with this stoichiometry**: 54 meV per atom
# **M_tot**: 0.000 μB per atom
# **Fermi-level density of states**: 7.8 states/eV per cell

=====

Record 4
# CaBeP2 (PBE-GGA, optimized geometry)
data_CaBeP2
_chemical_formula_sum 'Ca1 Be1 P2'
_space_group_name_H-M_alt 'P m m 2'
_space_group_IT_number 25
_space_group_name_Hall 'P 2 -2'
_cell_length_a 2.963
_cell_length_b 3.459
_cell_length_c 7.446
_cell_angle_alpha 90.00
_cell_angle_beta 90.00
_cell_angle_gamma 90.00
loop_
_atom_site_label
_atom_site_type_symbol
_atom_site_fract_x
_atom_site_fract_y
_atom_site_fract_z
_atom_site_occupancy
Ca1 Ca 0.000 0.000 0.000 1
Be1 Be 0.500 0.500 0.508 1
P1 P 0.000 0.000 0.620 1
P2 P 0.500 0.500 0.220 1
# **DFT formation energy**: -0.082 eV/atom
# **M_tot**: 0.000 μB per atom
# **Fermi-level density of states**: 1.4 states/eV per cell

=====

Record 5
# SrSc (PBE-GGA, optimized geometry)
data_SrSc
_chemical_formula_sum 'Sr6 Sc6'
_space_group_name_H-M_alt 'R -3 m'
_space_group_IT_number 166
_space_group_name_Hall '-R 3 2"'
_cell_length_a 3.7136
_cell_length_b 3.7136
_cell_length_c 36.0737
_cell_angle_alpha 90.00
_cell_angle_beta 90.00
_cell_angle_gamma 120.00
loop_
_atom_site_label
_atom_site_type_symbol
_atom_site_fract_x
_atom_site_fract_y
_atom_site_fract_z
_atom_site_occupancy
Sr1 Sr 0.0000 0.0000 0.1163 1
Sc1 Sc 0.0000 0.0000 0.3656 1
# **DFT formation energy**: 0.300 eV/atom
# **Energy above the lowest structure with this stoichiometry**: 106 meV per atom
# **M_tot**: 0.000 μB per atom
# **Fermi-level density of states**: 23.2 states/eV per cell

=====

Record 6
# PmDy6Y (PBE-GGA, optimized geometry)
data_PmDy6Y
_chemical_formula_sum 'Pm1 Dy6 Y1'
_space_group_name_H-M_alt 'P -1'
_space_group_IT_number 2
_space_group_name_Hall '-P 1'
_cell_length_a 6.547
_cell_length_b 6.730
_cell_length_c 6.982
_cell_angle_alpha 61.22
_cell_angle_beta 75.78
_cell_angle_gamma 89.76
loop_
_atom_site_label
_atom_site_type_symbol
_atom_site_fract_x
_atom_site_fract_y
_atom_site_fract_z
_atom_site_occupancy
Pm1 Pm 0.000 0.000 0.000 1
Dy1 Dy 0.230 0.575 0.521 1
Dy2 Dy 0.252 0.544 0.999 1
Dy3 Dy 0.271 0.096 0.476 1
Y1 Y 0.500 0.000 0.000 1
# **DFT formation energy**: 0.203 eV/atom
# **Energy above the lowest structure with this stoichiometry**: 181 meV per atom
# **M_tot**: 0.000 μB per atom
# **Fermi-level density of states**: 13.6 states/eV per cell